<w>
DFT (PBE-GGA) results for a relaxed Si2SbAs crystal.

## Properties
Total moment: 0.000 μB/atom
Density of states at the Fermi level: 3.56 states/eV per cell

abc: 4.238 4.238 8.823
angles: 90.00 90.00 90.00
Space group I4/mmm (No. 139)
Asymmetric unit:
Si (0.000, 0.500, 0.250)
Sb (0.000, 0.000, 0.000)
As (0.000, 0.000, 0.500)

---

<x>
DFT (PBE-GGA) results for a relaxed Si2SbAs crystal.

## Properties
Total moment: 0.000 μB/atom
Density of states at the Fermi level: 4.02 states/eV per cell

abc: 3.417 4.920 9.308
angles: 90.00 90.00 90.00
Space group Immm (No. 71)
Asymmetric unit:
Si (0.000, 0.000, 0.224)
Sb (0.000, 0.500, 0.000)
As (0.000, 0.500, 0.500)

---

<y>
DFT (PBE-GGA) results for a relaxed Si2SbAs crystal.

## Properties
Total moment: 0.000 μB/atom
Density of states at the Fermi level: 1.78 states/eV per cell

abc: 3.843 3.877 5.495
angles: 90.00 90.95 90.00
Space group P2/m (No. 10)
Asymmetric unit:
Si (0.000, 0.000, 0.000)
Si (0.500, 0.500, 0.500)
Sb (0.000, 0.000, 0.500)
As (0.500, 0.500, 0.000)

---

<z>
DFT (PBE-GGA) results for a relaxed Si2SbAs crystal.

## Properties
Total moment: 0.000 μB/atom
Density of states at the Fermi level: 1.34 states/eV per cell

abc: 4.425 3.725 5.365
angles: 90.00 102.74 90.00
Space group Pm (No. 6)
Asymmetric unit:
Si (0.000, 0.000, 0.000)
Si (0.328, 0.500, 0.923)
Sb (0.798, 0.500, 0.327)
As (0.543, 0.000, 0.656)

---

Top of the stability list: <z>, leading by 64 meV/atom.

---

<w>
DFT (PBE-GGA) results for a relaxed Si2SbAs crystal.

## Properties
Total moment: 0.000 μB/atom
Density of states at the Fermi level: 1.91 states/eV per cell

abc: 4.735 4.735 3.420
angles: 90.00 90.00 90.00
Space group P4/mmm (No. 123)
Asymmetric unit:
Si (0.000, 0.500, 0.000)
Sb (0.000, 0.000, 0.500)
As (0.500, 0.500, 0.500)

---

<x>
DFT (PBE-GGA) results for a relaxed Si2SbAs crystal.

## Properties
Total moment: 0.000 μB/atom
Density of states at the Fermi level: 3.67 states/eV per cell

abc: 3.634 5.122 8.846
angles: 90.00 90.00 90.00
Space group Cmm2 (No. 35)
Asymmetric unit:
Si (0.000, 0.000, 0.000)
Si (0.000, 0.500, 0.197)
Sb (0.000, 0.500, 0.752)
As (0.000, 0.000, 0.392)

---

Top of the stability list: <x>, leading by 113 meV/atom.